A plane-wave DFT calculation with GGA-PBEsol was carried out for an optimized crystal structure of NaAlCl2.

Cell and atoms, written as POSCAR:
```
NaAlCl2
1.0
4.503 0.000 0.000
2.251 3.900 0.000
2.251 1.300 8.008
Al Na Cl
1 1 2
Direct
0.500 0.500 0.500 Al
0.000 0.000 0.000 Na
0.897 0.897 0.310 Cl
0.103 0.103 0.690 Cl
```

Results
- Calculated density: 1.4 Mg/m³
- Symmetry: No. 166
- Electronic total energy: -3.094 eV/atom
- Excess energy over the best structure of this formula in the dataset: 248 meV per atom
- Formation energy without anion corrections: -0.718 eV/atom